The following is a DFT calculation (PBE) of a relaxed ZrBeInFe crystal.

Output
- volume (Å³/atom) = 15.6
- symmetry = F-43m
- energy relative to the lowest polymorph listed for this composition (eV/f.u.) = 0.00
- magnetization (Bohr magnetons per cell) = 1.2
- DFT total energy (eV/atom) = -5.831

Unit cell a=4.455 b=4.455 c=4.455 alpha=60.00 beta=60.00 gamma=60.00
Fractional coordinates of all 4 atoms:
Be 0.250 0.250 0.250
Fe 0.750 0.750 0.750
In 0.000 0.000 0.000
Zr 0.500 0.500 0.500